Record 1
VASP calculation (PBE) on a relaxed Sm6Dy12Tl crystal.

The electronic total energy is -4.438 eV/atom. For the formation energy, the calculation gives 0.084 eV/atom. The theoretical density is 8.28 g cm⁻³.

The structure belongs to space group R-3 (No. 148, hexagonal axes); the cell edges are 11.8967, 11.8967 and 14.9980 Å and the angles 90.00°, 90.00° and 120.00°. The inequivalent atoms are Sm at (0.0141, 0.5899, 0.1832), Dy at (0.0015, 0.1742, 0.6869), Dy at (0.0445, 0.1939, 0.9160) and Tl at (0.0000, 0.0000, 0.5000).

Record 2
VASP calculation (PBE) on a relaxed Rb3TcI2F6 crystal.

The electronic total energy is -4.356 eV/atom. The theoretical density is 3.53 g cm⁻³.

The structure belongs to space group C2/m (No. 12); the cell edges are 14.661, 6.801 and 6.809 Å and the angles 90.00°, 90.99° and 90.00°. The inequivalent atoms are Rb at (0.000, 0.000, 0.000), Rb at (0.250, 0.250, 0.500), Tc at (0.000, 0.500, 0.500), I at (0.245, 0.000, 0.983), F at (0.051, 0.291, 0.332) and F at (0.119, 0.500, 0.642).